First-principles (PBE) data for a relaxed MgNbP2O crystal, as listed in the Alexandria database.

Geometry as extended XYZ:
```
5
Lattice="4.9634 0.0000 0.0000 0.0000 4.9634 0.0000 0.0000 0.0000 3.8860" Properties=species:S:1:pos:R:3 pbc="T T T"
P 0.0000 2.4817 0.0000
Mg 2.4817 2.4817 1.9430
Nb 0.0000 0.0000 0.0000
O 0.0000 0.0000 1.9430
P 2.4817 0.0000 0.0000
```

Calculated values
The distance to the lowest polymorph of the same formula comes out at 0.000 eV/atom. For the formation energy (no corrections), the calculation gives -2.95 eV per formula unit. For the magnetization, the calculation gives 0.0 μB/f.u. The calculation puts the density of states at the Fermi level at 0.58 states/eV per atom.